Computed, not measured: a relaxed structure of PrHo4Rh4 at the PBE-GGA level of DFT.

a = 8.9098 Å, b = 8.9098 Å, c = 5.5923 Å
α = 90.00°, β = 90.00°, γ = 90.00°
Closest atoms and distances in Å follow each position.
Space group P4_2/n (No. 86, origin choice 2)
Symmetry-distinct sites (fractional):
1 Pr 0.2500 0.2500 0.2500 [2 per cell]  4 Rh 2.86
2 Ho 0.0766 0.6560 0.1661 [8 per cell]  5 Rh 2.75-2.90
3 Rh 0.0382 0.6200 0.6640 [8 per cell]  5 Ho 2.75-2.90, 1 Pr 2.86, 1 Rh 2.90

Values from the calculation:
- total magnetic moment (μB per formula unit) = 0.000
- total energy (eV for the cell shown) = -116.8
- formation energy (eV per formula unit) = -5.88


Computed, not measured: a relaxed structure of Er5Tm12Th2 at the PBE-GGA level of DFT.

a = 17.0142 Å, b = 7.0068 Å, c = 10.6056 Å
α = 90.00°, β = 104.67°, γ = 90.00°
Closest atoms and distances in Å follow each position.
Space group C2/m (No. 12)
Symmetry-distinct sites (fractional):
1 Er 0.0000 0.0000 0.0000 [2 per cell]  6 Tm 3.04-3.37
2 Er 0.2383 0.5000 0.4989 [4 per cell]  8 Tm 3.52-3.83, 2 Er 3.53
3 Er 0.2448 0.0000 0.0058 [4 per cell]  9 Tm 3.40-3.71, 2 Er 3.51
4 Tm 0.0254 0.0000 0.2941 [4 per cell]  1 Er 3.04, 2 Th 3.10, 2 Tm 3.19
5 Tm 0.0321 0.5000 0.8538 [4 per cell]  5 Tm 3.36-3.54, 1 Er 3.71
6 Tm 0.1490 0.2633 0.1919 [8 per cell]  4 Tm 3.14-3.42, 3 Er 3.37-3.51
7 Tm 0.1602 0.2446 0.7263 [8 per cell]  3 Tm 3.14-3.43, 1 Th 3.16, 2 Er 3.40-3.41
8 Th 0.0000 0.2908 0.5000 [4 per cell]  1 Th 2.93, 4 Tm 3.10-3.16

Values from the calculation:
- total magnetic moment (μB per formula unit) = 0.000
- total energy (eV for the cell shown) = -170.1
- formation energy (eV per formula unit) = 6.27
- energy relative to the lowest polymorph listed for this composition (meV/atom) = 206


Computed, not measured: a relaxed structure of Ce2BiCl at the PBE-GGA level of DFT.

a = 3.8292 Å, b = 3.8292 Å, c = 7.6019 Å
α = 90.00°, β = 90.00°, γ = 90.00°
Closest atoms and distances in Å follow each position.
Space group P4/mmm (No. 123)
Symmetry-distinct sites (fractional):
1 Ce 0.0000 0.0000 0.2486 [2 per cell]  4 Bi 3.30, 4 Cl 3.31
2 Bi 0.5000 0.5000 0.0000 [1 per cell]  8 Ce 3.30
3 Cl 0.5000 0.5000 0.5000 [1 per cell]  8 Ce 3.31

Values from the calculation:
- total magnetic moment (μB per formula unit) = 3.539
- total energy (eV for the cell shown) = -21.1
- energy relative to the lowest polymorph listed for this composition (meV/atom) = 198
- formation energy without anion corrections (meV per atom) = -886


Computed, not measured: a relaxed structure of NdIn2GaCl6 at the PBE-GGA level of DFT.

a = 7.7824 Å, b = 7.7824 Å, c = 19.6368 Å
α = 90.00°, β = 90.00°, γ = 120.00°
Closest atoms and distances in Å follow each position.
Space group R3 (No. 146, hexagonal axes)
Symmetry-distinct sites (fractional):
1 Nd 0.0000 0.0000 0.0000 [3 per cell]  6 Cl 2.73-2.78
2 In 0.0000 0.0000 0.2109 [3 per cell]  6 Cl 3.18-3.33
3 In 0.0000 0.0000 0.7057 [3 per cell]  6 Cl 3.19-3.25
4 Ga 0.0000 0.0000 0.4925 [3 per cell]  6 Cl 2.97-3.12
5 Cl 0.9997 0.4070 0.2629 [9 per cell]  1 Nd 2.73
6 Cl 0.0407 0.6260 0.7576 [9 per cell]  1 Nd 2.78, 1 Ga 2.97

Values from the calculation:
- total magnetic moment (μB per formula unit) = 0.000
- total energy (eV for the cell shown) = -114.4
- formation energy without anion corrections (meV per atom) = -1378


Computed, not measured: a relaxed structure of Cu2PbF at the PBE-GGA level of DFT.

a = 7.1814 Å, b = 7.1814 Å, c = 5.0675 Å
α = 90.00°, β = 90.00°, γ = 90.00°
Closest atoms and distances in Å follow each position.
Space group I-42d (No. 122)
Symmetry-distinct sites (fractional):
1 Cu 0.2090 0.2500 0.1250 [8 per cell]  2 F 2.42, 2 Cu 2.60
2 Pb 0.0000 0.0000 0.5000 [4 per cell]  2 F 2.53, 4 Cu 2.83
3 F 0.0000 0.0000 0.0000 [4 per cell]  4 Cu 2.42, 2 Pb 2.53

Values from the calculation:
- total magnetic moment (μB per formula unit) = 0.000
- total energy (eV for the cell shown) = -60.2
- energy relative to the lowest polymorph listed for this composition (meV/atom) = 0
- formation energy without anion corrections (meV per atom) = -317


Computed, not measured: a relaxed structure of NaAg4F4 at the PBE-GGA level of DFT.

a = 5.8558 Å, b = 5.8558 Å, c = 9.0768 Å
α = 90.00°, β = 90.00°, γ = 90.00°
Closest atoms and distances in Å follow each position.
Space group I-42m (No. 121)
Symmetry-distinct sites (fractional):
1 Na 0.0000 0.0000 0.0000 [2 per cell]  4 F 2.17
2 Ag 0.0000 0.0000 0.3490 [4 per cell]  4 F 2.45-2.48, 1 Ag 2.74
3 Ag 0.0000 0.5000 0.0000 [4 per cell]  4 F 2.51
4 F 0.2040 0.2040 0.8502 [8 per cell]  1 Na 2.17

Values from the calculation:
- total magnetic moment (μB per formula unit) = 0.000
- total energy (eV for the cell shown) = -59.6
- formation energy without anion corrections (meV per atom) = -1066


Computed, not measured: a relaxed structure of Na2YCuPt at the PBE-GGA level of DFT.

a = 5.1381 Å, b = 5.1381 Å, c = 4.8798 Å
α = 90.00°, β = 90.00°, γ = 90.00°
Closest atoms and distances in Å follow each position.
Space group P4/mmm (No. 123)
Symmetry-distinct sites (fractional):
1 Na 0.0000 0.5000 0.0000 [2 per cell]  2 Pt 2.57
2 Y 0.0000 0.0000 0.5000 [1 per cell]  8 Na 3.54, 4 Cu 3.63
3 Cu 0.5000 0.5000 0.5000 [1 per cell]  2 Pt 2.44
4 Pt 0.5000 0.5000 0.0000 [1 per cell]  2 Cu 2.44, 4 Na 2.57

Values from the calculation:
- total magnetic moment (μB per formula unit) = 0.411
- total energy (eV for the cell shown) = -17.1
- formation energy (eV per formula unit) = 2.10


Computed, not measured: a relaxed structure of LiMnMo2 at the PBE-GGA level of DFT.

a = 2.6063 Å, b = 4.2471 Å, c = 5.2056 Å
α = 90.00°, β = 102.20°, γ = 90.00°
Closest atoms and distances in Å follow each position.
Space group P2/m (No. 10)
Symmetry-distinct sites (fractional):
1 Li 0.0000 0.0000 0.0000 [1 per cell]  2 Li 2.61, 4 Mo 2.65, 2 Mn 2.65
2 Mn 0.5000 0.0000 0.5000 [1 per cell]  2 Mn 2.61, 4 Mo 2.64, 2 Li 2.65
3 Mo 0.2376 0.5000 0.7449 [2 per cell]  4 Mo 2.59-2.72, 2 Mn 2.64, 2 Li 2.65

Values from the calculation:
- total magnetic moment (μB per formula unit) = 1.572
- total energy (eV for the cell shown) = -31.5
- formation energy (eV per formula unit) = 1.24
- energy relative to the lowest polymorph listed for this composition (meV/atom) = 31


Among the records above, which one has the highest total energy?
Na2YCuPt